Computed, not measured: a PBEsol-optimized structure of YBeBr at the SCAN level of DFT.

abc: 4.596 4.596 4.596
angles: 60.00 60.00 60.00
Atoms (fractional coordinates):
Br 0.000 0.000 0.000
Be 0.750 0.750 0.750
Y 0.500 0.500 0.500

Results
The value obtained for the spin magnetization is 0.00 μB/cell. Its energy above the most stable polymorph in this dataset is 182 kJ/mol of formula units. The calculation puts the density of states at the Fermi level at 2.2 states/eV/f.u. As for the uncorrected formation energy: 0.368 eV per atom. Its electronic total energy is -16.850 eV/atom.

Computed, not measured: a PBEsol-optimized structure of YBeBr at the SCAN level of DFT.

abc: 3.625 3.625 7.045
angles: 90.00 90.00 120.00
Atoms (fractional coordinates):
Be 0.000 0.000 0.068
Br 0.333 0.667 0.604
Y 0.667 0.333 0.328

Results
The value obtained for the spin magnetization is 0.00 μB/cell. Its energy above the most stable polymorph in this dataset is 0 kJ/mol of formula units. The calculation puts the density of states at the Fermi level at 0.2 states/eV/f.u. As for the uncorrected formation energy: -0.260 eV per atom. Its electronic total energy is -17.479 eV/atom.

Computed, not measured: a PBEsol-optimized structure of Be2ZnBr at the SCAN level of DFT.

abc: 3.024 3.066 7.044
angles: 90.46 90.00 90.00
Atoms (fractional coordinates):
Zn 0.500 0.495 0.857
Be 0.000 0.998 0.012
Be 0.500 0.501 0.206
Br 0.000 0.506 0.425

Results
The value obtained for the spin magnetization is 0.00 μB/cell. The calculation puts the density of states at the Fermi level at 1.0 states/eV/f.u. As for the uncorrected formation energy: 0.293 eV per atom. Its electronic total energy is -10.127 eV/atom.